Record 1
Li5Sm2Sn4: optimized geometry, GGA-PBE.

Cell lengths 6.1051, 10.4014, 16.5534 Å; angles 90.00, 90.00, 90.00 degrees
Last column: nearest neighbours and their distance in Å.
Space group Fmmm (No. 69)
Symmetry-distinct sites (fractional):
Li 0.0000 0.0000 0.0000 x4  4 Sn 2.72, 4 Li 3.02
Li 0.2500 0.2500 0.0000 x8  4 Sn 2.97, 4 Li 3.02-3.05
Li 0.2500 0.2500 0.2500 x8  4 Sn 2.65
Sm 0.0000 0.0000 0.3264 x8  4 Li 3.27, 6 Sn 3.44-3.45
Sn 0.0000 0.1421 0.1383 x16  3 Li 2.65-2.72, 1 Sn 2.96

Summary:
energy of formation	-0.352	eV/atom
M_tot	2.38	μB per cell
calculated total energy	-3.536	eV/atom

---

Record 2
Pm5PrY5: optimized geometry, GGA-PBE.

Cell lengths 6.1558, 6.1558, 11.9032 Å; angles 90.00, 90.00, 120.00 degrees
Last column: nearest neighbours and their distance in Å.
Space group P-6m2 (No. 187)
Symmetry-distinct sites (fractional):
Pm 0.0000 0.0000 0.0000 x1  2 Y 3.13
Pm 0.3333 0.6667 0.3197 x2  9 Y 3.62-3.75, 1 Pr 3.80
Pm 0.6667 0.3333 0.1545 x2  7 Pm 3.68-4.06, 3 Y 3.78, 3 Pr 4.00
Pr 0.3333 0.6667 0.0000 x1  5 Pm 3.55-3.80
Y 0.0000 0.0000 0.2629 x2  1 Pm 3.13, 3 Y 3.33
Y 0.3331 0.1666 0.5000 x3  6 Y 3.08-3.33

Summary:
energy of formation	0.312	eV/atom
energy above the most stable polymorph in this dataset	15.1	meV/atom
M_tot	0.00	μB per cell
calculated total energy	-5.220	eV/atom

---

Record 3
MgHg2Pb: optimized geometry, GGA-PBE.

Cell lengths 3.5520, 3.5520, 28.2188 Å; angles 90.00, 90.00, 120.00 degrees
Last column: nearest neighbours and their distance in Å.
Space group R-3m (No. 166, hexagonal axes)
Symmetry-distinct sites (fractional):
Mg 0.0000 0.0000 0.0000 x3  6 Hg 2.92
Hg 0.0000 0.0000 0.2599 x6  3 Mg 2.92
Pb 0.0000 0.0000 0.5000 x3  6 Hg 3.34, 6 Pb 3.55

Summary:
energy of formation	-0.065	eV/atom
M_tot	0.00	μB per cell
calculated total energy	-1.541	eV/atom

---

Record 4
RhPb2Au2: optimized geometry, GGA-PBE.

Cell lengths 7.2248, 7.2248, 4.3318 Å; angles 90.00, 90.00, 90.00 degrees
Last column: nearest neighbours and their distance in Å.
Space group P4/mbm (No. 127)
Symmetry-distinct sites (fractional):
Rh 0.0000 0.0000 0.0000 x2  4 Au 2.80
Pb 0.1768 0.3232 0.5000 x4  6 Au 2.88-3.15
Au 0.1379 0.6379 0.0000 x4  2 Rh 2.80, 1 Au 2.82, 2 Pb 2.88

Summary:
energy of formation	0.187	eV/atom
M_tot	0.00	μB per cell
calculated total energy	-4.078	eV/atom

---

Record 5
Th3Ge6Rh5: optimized geometry, GGA-PBE.

Cell lengths 4.2660, 13.1989, 9.2946 Å; angles 90.00, 90.00, 90.00 degrees
Last column: nearest neighbours and their distance in Å.
Space group Pmmn (No. 59, origin choice 2)
Symmetry-distinct sites (fractional):
Th 0.2500 0.0546 0.2462 x4  8 Ge 3.06-3.27, 6 Rh 3.14-3.39
Th 0.2500 0.7500 0.2547 x2  6 Rh 3.02-3.16, 2 Ge 3.24
Ge 0.2500 0.0770 0.8968 x4  3 Rh 2.54-2.60, 1 Ge 2.76
Ge 0.2500 0.2500 0.0642 x2  4 Rh 2.60, 2 Ge 2.76
Ge 0.2500 0.2500 0.4625 x2  4 Rh 2.55-2.61
Ge 0.2500 0.5929 0.5224 x4  4 Rh 2.53-2.65
Rh 0.2500 0.0946 0.6246 x4  5 Ge 2.53-2.65
Rh 0.2500 0.6398 0.9703 x4  4 Ge 2.60, 1 Rh 2.91
Rh 0.2500 0.7500 0.6987 x2  4 Ge 2.61-2.64, 2 Rh 2.91

Summary:
energy of formation	-0.785	eV/atom
M_tot	0.00	μB per cell
calculated total energy	-6.979	eV/atom

---

Record 6
AlAgAsSe2: optimized geometry, GGA-PBE.

Cell lengths 4.9602, 4.9602, 4.8195 Å; angles 90.00, 90.00, 90.00 degrees
Last column: nearest neighbours and their distance in Å.
Space group P4/mmm (No. 123)
Symmetry-distinct sites (fractional):
Al 0.0000 0.0000 0.0000 x1  2 As 2.41, 4 Se 2.48
Ag 0.5000 0.5000 0.5000 x1  8 Se 3.46, 4 As 3.51
As 0.0000 0.0000 0.5000 x1  2 Al 2.41
Se 0.0000 0.5000 0.0000 x2  2 Al 2.48

Summary:
energy above the most stable polymorph in this dataset	0.0	meV/atom
M_tot	0.00	μB per cell
uncorrected formation energy	0.335	eV/atom
calculated total energy	-3.308	eV/atom

---

Record 7
La2CuAs4Rh3: optimized geometry, GGA-PBE.

Cell lengths 4.3794, 4.3794, 9.9020 Å; angles 90.00, 90.00, 90.00 degrees
Last column: nearest neighbours and their distance in Å.
Space group P-4m2 (No. 115)
Symmetry-distinct sites (fractional):
La 0.0000 0.5000 0.2495 x2  8 As 3.30-3.31, 2 Cu 3.31, 7 Rh 3.31-3.64
Cu 0.0000 0.0000 0.5000 x1  4 As 2.55
As 0.0000 0.0000 0.0000 x1  4 Rh 2.48
As 0.0000 0.5000 0.6319 x2  3 Rh 2.48-2.55, 2 Cu 2.55
As 0.5000 0.5000 0.0000 x1  4 Rh 2.48
Rh 0.0000 0.5000 0.8822 x2  5 As 2.48
Rh 0.5000 0.5000 0.5000 x1  4 As 2.55

Summary:
energy of formation	-0.903	eV/atom
M_tot	0.00	μB per cell
calculated total energy	-6.364	eV/atom

---

Record 8
Tb6PrSc4: optimized geometry, GGA-PBE.

Cell lengths 8.7318, 8.7318, 5.2626 Å; angles 90.00, 90.00, 120.00 degrees
Last column: nearest neighbours and their distance in Å.
Space group P-6m2 (No. 187)
Symmetry-distinct sites (fractional):
Tb 0.1998 0.3996 0.0000 x3  5 Sc 3.02-3.26
Tb 0.2670 0.1335 0.5000 x3  4 Sc 3.14-3.32, 2 Tb 3.50
Pr 0.6667 0.3333 0.0000 x1  12 Tb 4.01-4.39, 6 Sc 4.17
Sc 0.0000 0.0000 0.0000 x1  9 Tb 3.02-3.32
Sc 0.0947 0.5474 0.5000 x3  2 Sc 3.13, 6 Tb 3.14-3.26

Summary:
energy of formation	0.304	eV/atom
energy above the most stable polymorph in this dataset	193.2	meV/atom
M_tot	0.00	μB per cell
calculated total energy	-4.958	eV/atom

---

Record 9
Pm2CuSi: optimized geometry, GGA-PBE.

Cell lengths 6.0002, 4.1578, 8.1614 Å; angles 90.00, 110.73, 90.00 degrees
Last column: nearest neighbours and their distance in Å.
Space group P2_1/m (No. 11)
Symmetry-distinct sites (fractional):
Pm 0.2095 0.2500 0.4101 x2  3 Cu 3.02-3.03, 4 Si 3.08-3.17
Pm 0.2231 0.2500 0.9452 x2  3 Cu 3.02, 3 Si 3.09-3.11
Cu 0.4099 0.7500 0.2293 x2  2 Si 2.51
Si 0.3406 0.7500 0.7069 x2  2 Cu 2.51

Summary:
M_tot	0.00	μB per cell
uncorrected formation energy	-0.471	eV/atom
calculated total energy	-5.226	eV/atom

---

Record 10
SrAlZn4Ga2: optimized geometry, GGA-PBE.

Cell lengths 4.4085, 4.4085, 28.3087 Å; angles 90.00, 90.00, 120.00 degrees
Last column: nearest neighbours and their distance in Å.
Space group R-3m (No. 166, hexagonal axes)
Symmetry-distinct sites (fractional):
Sr 0.0000 0.0000 0.0000 x3  6 Zn 3.26, 6 Ga 3.57
Al 0.0000 0.0000 0.5000 x3  8 Zn 2.68-2.72
Zn 0.0000 0.0000 0.1324 x6  3 Al 2.72, 3 Ga 2.83
Zn 0.0000 0.0000 0.4052 x6  3 Ga 2.59, 1 Al 2.68
Ga 0.0000 0.0000 0.2447 x6  6 Zn 2.59-2.83

Summary:
energy of formation	-0.088	eV/atom
M_tot	0.00	μB per cell
calculated total energy	-2.160	eV/atom

---

Record 11
LaIr2: optimized geometry, GGA-PBE.

Cell lengths 3.6081, 3.6081, 9.8893 Å; angles 90.00, 90.00, 90.00 degrees
Last column: nearest neighbours and their distance in Å.
Space group I4/mmm (No. 139)
Symmetry-distinct sites (fractional):
La 0.0000 0.0000 0.0000 x2  2 Ir 2.80
Ir 0.0000 0.0000 0.2827 x4  4 Ir 2.63, 1 La 2.80

Summary:
energy of formation	-0.126	eV/atom
M_tot	0.00	μB per cell
calculated total energy	-7.676	eV/atom

---

Record 12
CsCo2AgW: optimized geometry, GGA-PBE.

Cell lengths 4.6359, 4.6359, 5.1479 Å; angles 90.00, 90.00, 90.00 degrees
Last column: nearest neighbours and their distance in Å.
Space group P4/mmm (No. 123)
Symmetry-distinct sites (fractional):
Cs 0.0000 0.0000 0.0000 x1  4 Co 2.32, 2 W 2.57
Co 0.0000 0.5000 0.0000 x2  2 Cs 2.32
Ag 0.5000 0.5000 0.5000 x1  4 W 3.28, 8 Co 3.46
W 0.0000 0.0000 0.5000 x1  2 Cs 2.57

Summary:
energy of formation	2.974	eV/atom
M_tot	4.19	μB per cell
calculated total energy	-3.200	eV/atom